1.
A relaxed structure of BaU2Se5. Source: Alexandria, functional PBE-GGA.

Summary:
**E above lowest polymorph**: 0.054 eV/atom

Cell lengths 9.0791, 9.0791, 9.0791 Å; angles 130.91, 130.91, 71.95 degrees
Closest atoms and distances in Å follow each position.
Positions (direct):
Ba  0.2500  0.2500  0.0000  10 Se 3.33-3.67
Ba  0.7500  0.7500  0.0000  10 Se 3.33-3.67
U  0.1179  0.6179  0.7358  1 U 2.52
U  0.3821  0.1179  0.5000  1 U 2.52
U  0.6179  0.8821  0.5000  1 U 2.52
U  0.8821  0.3821  0.2642  1 U 2.52
Se  0.0000  0.0000  0.0000  4 U 3.02
Se  0.0339  0.2061  0.5000  3 U 2.88-3.01
Se  0.2061  0.7061  0.1723  3 U 2.88-3.01
Se  0.2939  0.4661  0.5000  3 U 2.88-3.01
Se  0.4661  0.9661  0.1723  3 U 2.88-3.01
Se  0.5000  0.5000  0.0000  4 U 3.02
Se  0.5339  0.0339  0.8277  3 U 2.88-3.01
Se  0.7061  0.5339  0.5000  3 U 2.88-3.01
Se  0.7939  0.2939  0.8277  3 U 2.88-3.01
Se  0.9661  0.7939  0.5000  3 U 2.88-3.01

2.
A relaxed structure of Tb2SmPuS4. Source: Alexandria, functional PBE-GGA.

Cell lengths 6.8552, 3.9394, 6.8610 Å; angles 90.00, 109.23, 90.00 degrees
Closest atoms and distances in Å follow each position.
Positions (direct):
Tb  0.0000  0.0000  0.0000  6 S 2.79
Tb  0.5000  0.5000  0.0000  6 S 2.77
Sm  0.0000  0.5000  0.5000  6 S 2.82
Pu  0.5000  0.0000  0.5000  6 S 2.81
S  0.2509  0.5000  0.2462  3 Tb 2.77-2.79, 2 Pu 2.81, 1 Sm 2.82
S  0.2540  0.0000  0.7556  3 Tb 2.77-2.79, 1 Pu 2.81, 2 Sm 2.82
S  0.7460  0.0000  0.2444  3 Tb 2.77-2.79, 1 Pu 2.81, 2 Sm 2.82
S  0.7491  0.5000  0.7538  3 Tb 2.77-2.79, 2 Pu 2.81, 1 Sm 2.82

3.
A relaxed structure of Ta5Nb. Source: Alexandria, functional PBE-GGA.

Summary:
**E above lowest polymorph**: 0.000 eV/atom
**Energy of formation from the pure elements**: 0.00 eV/atom

Cell lengths 7.4174, 7.4174, 3.3180 Å; angles 90.00, 90.00, 143.12 degrees
Closest atoms and distances in Å follow each position.
Positions (direct):
Ta  0.0000  0.0000  0.0000  4 Nb 2.87, 4 Ta 2.90
Ta  0.1688  0.8312  0.5000  8 Ta 2.87-2.90
Ta  0.3349  0.6651  0.0000  2 Nb 2.85, 6 Ta 2.87
Ta  0.6651  0.3349  0.0000  2 Nb 2.85, 6 Ta 2.87
Ta  0.8312  0.1688  0.5000  8 Ta 2.87-2.90
Nb  0.5000  0.5000  0.5000  8 Ta 2.85-2.87

4.
A relaxed structure of Li2SmHo2Tl2. Source: Alexandria, functional PBE-GGA.

Summary:
**Energy of formation from the pure elements**: -0.18 eV/atom

Cell lengths 9.3512, 9.3512, 9.3512 Å; angles 30.06, 30.06, 30.06 degrees
Closest atoms and distances in Å follow each position.
Positions (direct):
Li  0.0987  0.0987  0.0987  3 Tl 2.80
Li  0.9013  0.9013  0.9013  3 Tl 2.80
Sm  0.5000  0.5000  0.5000  6 Li 3.34, 6 Tl 3.42, 2 Ho 3.42
Ho  0.3721  0.3721  0.3721  4 Tl 3.16-3.54, 3 Li 3.23, 1 Sm 3.42, 3 Ho 3.49
Ho  0.6279  0.6279  0.6279  4 Tl 3.16-3.54, 3 Li 3.23, 1 Sm 3.42, 3 Ho 3.49
Tl  0.2400  0.2400  0.2400  3 Li 2.80
Tl  0.7600  0.7600  0.7600  3 Li 2.80

5.
A relaxed structure of Fe2OsSe. Source: Alexandria, functional PBE-GGA.

Cell lengths 4.5929, 4.5929, 4.3831 Å; angles 93.56, 93.56, 36.70 degrees
Closest atoms and distances in Å follow each position.
Positions (direct):
Fe  0.2336  0.2336  0.2249  1 Se 2.43, 2 Fe 2.48, 3 Os 2.58-2.64
Fe  0.7664  0.7664  0.7751  1 Se 2.43, 2 Fe 2.48, 3 Os 2.58-2.64
Os  0.5000  0.5000  0.0000  6 Fe 2.58-2.64, 4 Se 2.63
Se  0.0000  0.0000  0.5000  2 Fe 2.43, 4 Os 2.63

6.
A relaxed structure of DyMnPdAu. Source: Alexandria, functional PBE-GGA.

Summary:
**Energy of formation from the pure elements**: -0.48 eV/atom

Cell lengths 4.7795, 4.7795, 4.7795 Å; angles 60.00, 60.00, 60.00 degrees
Closest atoms and distances in Å follow each position.
Positions (direct):
Dy  0.0000  0.0000  0.0000  4 Pd 2.93, 4 Au 2.93
Mn  0.5000  0.5000  0.5000  4 Pd 2.93, 4 Au 2.93
Pd  0.7500  0.7500  0.7500  4 Mn 2.93, 4 Dy 2.93
Au  0.2500  0.2500  0.2500  4 Mn 2.93, 4 Dy 2.93

7.
A relaxed structure of LaZnTc2. Source: Alexandria, functional PBE-GGA.

Summary:
**Energy of formation from the pure elements**: 0.46 eV/atom

Cell lengths 4.3144, 4.3144, 3.9257 Å; angles 90.00, 90.00, 90.00 degrees
Closest atoms and distances in Å follow each position.
Positions (direct):
La  0.0000  0.0000  0.0000  8 Tc 2.92, 4 Zn 3.05
Zn  0.5000  0.5000  0.0000  8 Tc 2.92, 4 La 3.05
Tc  0.0000  0.5000  0.5000  4 La 2.92, 4 Zn 2.92, 4 Tc 3.05
Tc  0.5000  0.0000  0.5000  4 La 2.92, 4 Zn 2.92, 4 Tc 3.05

8.
A relaxed structure of Ho12Ru6Pb. Source: Alexandria, functional PBE-GGA.

Summary:
**Energy of formation from the pure elements**: -0.32 eV/atom

Cell lengths 8.4984, 8.4984, 8.4984 Å; angles 109.47, 109.47, 109.47 degrees
Closest atoms and distances in Å follow each position.
Positions (direct):
Ho  0.1022  0.2968  0.8054  1 Ru 2.67
Ho  0.1946  0.4914  0.2968  1 Ru 2.67
Ho  0.1946  0.8978  0.7032  1 Ru 2.67
Ho  0.2968  0.1946  0.4914  1 Ru 2.67
Ho  0.2968  0.8054  0.1022  1 Ru 2.67
Ho  0.4914  0.2968  0.1946  1 Ru 2.67
Ho  0.5086  0.7032  0.8054  1 Ru 2.67
Ho  0.7032  0.1946  0.8978  1 Ru 2.67
Ho  0.7032  0.8054  0.5086  1 Ru 2.67
Ho  0.8054  0.1022  0.2968  1 Ru 2.67
Ho  0.8054  0.5086  0.7032  1 Ru 2.67
Ho  0.8978  0.7032  0.1946  1 Ru 2.67
Ru  0.1244  0.5000  0.6244  1 Ru 2.44, 2 Ho 2.67
Ru  0.3756  0.8756  0.5000  1 Ru 2.44, 2 Ho 2.67
Ru  0.5000  0.3756  0.8756  1 Ru 2.44, 2 Ho 2.67
Ru  0.5000  0.6244  0.1244  1 Ru 2.44, 2 Ho 2.67
Ru  0.6244  0.1244  0.5000  1 Ru 2.44, 2 Ho 2.67
Ru  0.8756  0.5000  0.3756  1 Ru 2.44, 2 Ho 2.67
Pb  0.0000  0.0000  0.0000  12 Ho 3.48

9.
A relaxed structure of K3Tl5Bi2. Source: Alexandria, functional PBE-GGA.

Summary:
**E above lowest polymorph**: 0.000 eV/atom
**Energy of formation from the pure elements**: -0.17 eV/atom

Cell lengths 12.1977, 12.1977, 4.9917 Å; angles 90.00, 90.00, 90.00 degrees
Closest atoms and distances in Å follow each position.
Positions (direct):
K  0.0000  0.0000  0.0000  8 Tl 3.61
K  0.1565  0.3435  0.0000  3 Bi 3.50-3.63, 2 Tl 3.68
K  0.3435  0.8435  0.0000  3 Bi 3.50-3.63, 2 Tl 3.68
K  0.5000  0.5000  0.0000  8 Tl 3.61
K  0.6565  0.1565  0.0000  3 Bi 3.50-3.63, 2 Tl 3.68
K  0.8435  0.6565  0.0000  3 Bi 3.50-3.63, 2 Tl 3.68
Tl  0.0000  0.5000  0.5000  4 Bi 3.48, 4 K 3.68, 4 Tl 3.89
Tl  0.0893  0.8059  0.5000  2 Bi 3.27, 2 K 3.61
Tl  0.1941  0.0893  0.5000  2 Bi 3.27, 2 K 3.61
Tl  0.3059  0.5893  0.5000  2 Bi 3.27, 2 K 3.61
Tl  0.4107  0.3059  0.5000  2 Bi 3.27, 2 K 3.61
Tl  0.5000  0.0000  0.5000  4 Bi 3.48, 4 K 3.68, 4 Tl 3.89
Tl  0.5893  0.6941  0.5000  2 Bi 3.27, 2 K 3.61
Tl  0.6941  0.4107  0.5000  2 Bi 3.27, 2 K 3.61
Tl  0.8059  0.9107  0.5000  2 Bi 3.27, 2 K 3.61
Tl  0.9107  0.1941  0.5000  2 Bi 3.27, 2 K 3.61
Bi  0.1405  0.6405  0.0000  6 Tl 3.27-3.48, 3 K 3.50-3.63
Bi  0.3595  0.1405  0.0000  6 Tl 3.27-3.48, 3 K 3.50-3.63
Bi  0.6405  0.8595  0.0000  6 Tl 3.27-3.48, 3 K 3.50-3.63
Bi  0.8595  0.3595  0.0000  6 Tl 3.27-3.48, 3 K 3.50-3.63

10.
A relaxed structure of RbReCN2. Source: Alexandria, functional PBE-GGA.

Cell lengths 4.0211, 4.0211, 4.2213 Å; angles 90.00, 90.00, 90.00 degrees
Closest atoms and distances in Å follow each position.
Positions (direct):
Rb  0.0000  0.0000  0.0000  2 C 2.11
Re  0.5000  0.5000  0.0000  4 Rb 2.84, 8 N 2.91
C  0.0000  0.0000  0.5000  4 N 2.01, 2 Rb 2.11
N  0.0000  0.5000  0.5000  2 C 2.01
N  0.5000  0.0000  0.5000  2 C 2.01

11.
A relaxed structure of IrOs4W. Source: Alexandria, functional PBE-GGA.

Summary:
**E above lowest polymorph**: 0.336 eV/atom
**Energy of formation from the pure elements**: 0.63 eV/atom

Cell lengths 5.0900, 5.0900, 5.0900 Å; angles 60.00, 60.00, 60.00 degrees
Closest atoms and distances in Å follow each position.
Positions (direct):
Ir  0.0000  0.0000  0.0000  12 Os 2.98, 4 W 3.12
Os  0.1230  0.6257  0.6257  6 Os 2.53-2.56
Os  0.6257  0.1230  0.6257  6 Os 2.53-2.56
Os  0.6257  0.6257  0.1230  6 Os 2.53-2.56
Os  0.6257  0.6257  0.6257  6 Os 2.53-2.56
W  0.2500  0.2500  0.2500  12 Os 2.99, 4 Ir 3.12

12.
A relaxed structure of NaLi3Ag3. Source: Alexandria, functional PBE-GGA.

Summary:
**Energy of formation from the pure elements**: 0.19 eV/atom

Cell lengths 7.1183, 7.1183, 7.1183 Å; angles 90.00, 90.00, 90.00 degrees
Closest atoms and distances in Å follow each position.
Positions (direct):
Na  0.0000  0.0000  0.0000  12 Li 3.98, 12 Ag 3.98
Na  0.5000  0.5000  0.5000  12 Li 3.98, 12 Ag 3.98
Li  0.0000  0.2500  0.5000  4 Ag 2.52
Li  0.0000  0.7500  0.5000  4 Ag 2.52
Li  0.2500  0.5000  0.0000  4 Ag 2.52
Li  0.5000  0.0000  0.2500  4 Ag 2.52
Li  0.5000  0.0000  0.7500  4 Ag 2.52
Li  0.7500  0.5000  0.0000  4 Ag 2.52
Ag  0.0000  0.5000  0.2500  4 Li 2.52
Ag  0.0000  0.5000  0.7500  4 Li 2.52
Ag  0.2500  0.0000  0.5000  4 Li 2.52
Ag  0.5000  0.2500  0.0000  4 Li 2.52
Ag  0.5000  0.7500  0.0000  4 Li 2.52
Ag  0.7500  0.0000  0.5000  4 Li 2.52

no.,raw total energy (eV per atom)
1,-6.5526
2,-7.5766
3,-11.5603
4,-3.3839
5,-7.4093
6,-6.0427
7,-6.2754
8,-6.3392
9,-2.4617
10,-4.1718
11,-10.4943
12,-2.0431